# BeZn2Cu SCAN single point on PBEsol structure
# ΔH_f (0 K) (meV per atom): -72
data_BeZn2Cu
_cell_length_a 2.814
_cell_length_b 2.814
_cell_length_c 5.823
_cell_angle_alpha 90.00
_cell_angle_beta 90.00
_cell_angle_gamma 90.00
_symmetry_space_group_name_H-M 'P 1'
_symmetry_Int_Tables_number 1
loop_
_symmetry_equiv_pos_as_xyz
'x,y,z'
loop_
_atom_site_label
_atom_site_type_symbol
_atom_site_fract_x
_atom_site_fract_y
_atom_site_fract_z
Zn1 Zn 0.000 0.000 0.984
Be1 Be 0.000 0.000 0.523
Zn2 Zn 0.500 0.500 0.277
Cu1 Cu 0.500 0.500 0.716

***

# BeZnCu2 SCAN single point on PBEsol structure
# ΔH_f (0 K) (meV per atom): -81
# Energy above the most stable polymorph in this dataset (meV per atom): 18
data_BeZnCu2
_cell_length_a 3.482
_cell_length_b 3.482
_cell_length_c 4.393
_cell_angle_alpha 113.35
_cell_angle_beta 113.35
_cell_angle_gamma 90.00
_symmetry_space_group_name_H-M 'P 1'
_symmetry_Int_Tables_number 1
loop_
_symmetry_equiv_pos_as_xyz
'x,y,z'
loop_
_atom_site_label
_atom_site_type_symbol
_atom_site_fract_x
_atom_site_fract_y
_atom_site_fract_z
Zn1 Zn 0.500 0.500 0.000
Cu1 Cu 0.000 0.000 0.000
Cu2 Cu 0.750 0.250 0.500
Be1 Be 0.250 0.750 0.500

***

# BeZn2Cu SCAN single point on PBEsol structure
# ΔH_f (0 K) (meV per atom): -44
data_BeZn2Cu
_cell_length_a 2.898
_cell_length_b 4.004
_cell_length_c 4.691
_cell_angle_alpha 115.27
_cell_angle_beta 107.99
_cell_angle_gamma 90.00
_symmetry_space_group_name_H-M 'P 1'
_symmetry_Int_Tables_number 1
loop_
_symmetry_equiv_pos_as_xyz
'x,y,z'
loop_
_atom_site_label
_atom_site_type_symbol
_atom_site_fract_x
_atom_site_fract_y
_atom_site_fract_z
Zn1 Zn 0.994 0.994 0.989
Be1 Be 0.509 0.509 0.019
Zn2 Zn 0.764 0.264 0.529
Cu1 Cu 0.232 0.732 0.464

***

# BeZnCu2 SCAN single point on PBEsol structure
# ΔH_f (0 K) (meV per atom): -79
# Energy above the most stable polymorph in this dataset (meV per atom): 20
data_BeZnCu2
_cell_length_a 2.755
_cell_length_b 4.041
_cell_length_c 4.634
_cell_angle_alpha 115.85
_cell_angle_beta 107.29
_cell_angle_gamma 90.00
_symmetry_space_group_name_H-M 'P 1'
_symmetry_Int_Tables_number 1
loop_
_symmetry_equiv_pos_as_xyz
'x,y,z'
loop_
_atom_site_label
_atom_site_type_symbol
_atom_site_fract_x
_atom_site_fract_y
_atom_site_fract_z
Cu1 Cu 0.229 0.229 0.459
Cu2 Cu 0.771 0.771 0.541
Zn1 Zn 0.000 0.500 0.000
Be1 Be 0.500 0.000 0.000

***

# BeZnCu2 SCAN single point on PBEsol structure
# ΔH_f (0 K) (meV per atom): -99
# Energy above the most stable polymorph in this dataset (meV per atom): 0
data_BeZnCu2
_cell_length_a 3.912
_cell_length_b 3.993
_cell_length_c 3.912
_cell_angle_alpha 60.67
_cell_angle_beta 90.00
_cell_angle_gamma 119.33
_symmetry_space_group_name_H-M 'P 1'
_symmetry_Int_Tables_number 1
loop_
_symmetry_equiv_pos_as_xyz
'x,y,z'
loop_
_atom_site_label
_atom_site_type_symbol
_atom_site_fract_x
_atom_site_fract_y
_atom_site_fract_z
Cu1 Cu 0.250 0.500 0.250
Zn1 Zn 0.500 0.000 0.500
Cu2 Cu 0.750 0.500 0.750
Be1 Be 0.000 0.000 0.000

***

# Zr2Be2Cu SCAN single point on PBEsol structure
# ΔH_f (0 K) (meV per atom): -195
data_Zr2Be2Cu
_cell_length_a 3.898
_cell_length_b 6.100
_cell_length_c 6.100
_cell_angle_alpha 90.00
_cell_angle_beta 90.00
_cell_angle_gamma 90.00
_symmetry_space_group_name_H-M 'P 1'
_symmetry_Int_Tables_number 1
loop_
_symmetry_equiv_pos_as_xyz
'x,y,z'
loop_
_atom_site_label
_atom_site_type_symbol
_atom_site_fract_x
_atom_site_fract_y
_atom_site_fract_z
Zr1 Zr 0.500 0.827 0.327
Be1 Be 0.000 0.872 0.628
Cu1 Cu 0.000 0.500 0.500
Zr2 Zr 0.500 0.327 0.173
Zr3 Zr 0.500 0.173 0.673
Cu2 Cu 0.000 0.000 0.000
Be2 Be 0.000 0.372 0.872
Be3 Be 0.000 0.628 0.128
Be4 Be 0.000 0.128 0.372
Zr4 Zr 0.500 0.673 0.827

***

# ZrBe2Cu SCAN single point on PBEsol structure
# ΔH_f (0 K) (meV per atom): -23
data_ZrBe2Cu
_cell_length_a 2.774
_cell_length_b 2.818
_cell_length_c 6.299
_cell_angle_alpha 90.00
_cell_angle_beta 90.00
_cell_angle_gamma 90.00
_symmetry_space_group_name_H-M 'P 1'
_symmetry_Int_Tables_number 1
loop_
_symmetry_equiv_pos_as_xyz
'x,y,z'
loop_
_atom_site_label
_atom_site_type_symbol
_atom_site_fract_x
_atom_site_fract_y
_atom_site_fract_z
Be1 Be 0.500 0.500 0.241
Be2 Be 0.000 0.000 0.063
Zr1 Zr 0.500 0.500 0.761
Cu1 Cu 0.000 0.000 0.436

***

# Zr6Be15Cu8 SCAN single point on PBEsol structure
# ΔH_f (0 K) (meV per atom): -310
data_Zr6Be15Cu8
_cell_length_a 7.809
_cell_length_b 7.809
_cell_length_c 7.809
_cell_angle_alpha 60.00
_cell_angle_beta 60.00
_cell_angle_gamma 60.00
_symmetry_space_group_name_H-M 'P 1'
_symmetry_Int_Tables_number 1
loop_
_symmetry_equiv_pos_as_xyz
'x,y,z'
loop_
_atom_site_label
_atom_site_type_symbol
_atom_site_fract_x
_atom_site_fract_y
_atom_site_fract_z
Zr1 Zr 0.703 0.703 0.297
Cu1 Cu 0.877 0.369 0.877
Be1 Be 0.030 0.323 0.323
Be2 Be 0.677 0.677 0.677
Be3 Be 0.000 0.000 0.000
Be4 Be 0.323 0.030 0.323
Cu2 Cu 0.631 0.123 0.123
Cu3 Cu 0.877 0.877 0.877
Be5 Be 0.323 0.323 0.323
Zr2 Zr 0.297 0.703 0.297
Be6 Be 0.677 0.970 0.677
Be7 Be 0.500 0.500 0.000
Zr3 Zr 0.297 0.297 0.703
Be8 Be 0.323 0.323 0.030
Be9 Be 0.500 0.000 0.000
Zr4 Zr 0.703 0.297 0.703
Cu4 Cu 0.123 0.123 0.631
Cu5 Cu 0.123 0.123 0.123
Be10 Be 0.677 0.677 0.970
Be11 Be 0.000 0.000 0.500
Cu6 Cu 0.123 0.631 0.123
Be12 Be 0.500 0.000 0.500
Zr5 Zr 0.297 0.703 0.703
Be13 Be 0.970 0.677 0.677
Cu7 Cu 0.369 0.877 0.877
Zr6 Zr 0.703 0.297 0.297
Be14 Be 0.000 0.500 0.000
Be15 Be 0.000 0.500 0.500
Cu8 Cu 0.877 0.877 0.369

***

# Zr2BeCu SCAN single point on PBEsol structure
# ΔH_f (0 K) (meV per atom): -136
data_Zr2BeCu
_cell_length_a 3.212
_cell_length_b 3.915
_cell_length_c 5.413
_cell_angle_alpha 90.00
_cell_angle_beta 107.33
_cell_angle_gamma 90.00
_symmetry_space_group_name_H-M 'P 1'
_symmetry_Int_Tables_number 1
loop_
_symmetry_equiv_pos_as_xyz
'x,y,z'
loop_
_atom_site_label
_atom_site_type_symbol
_atom_site_fract_x
_atom_site_fract_y
_atom_site_fract_z
Zr1 Zr 0.723 0.500 0.320
Cu1 Cu 0.437 0.500 0.749
Zr2 Zr 0.032 0.000 0.939
Be1 Be 0.308 0.000 0.492

***

# Zr2BeCu SCAN single point on PBEsol structure
# ΔH_f (0 K) (meV per atom): -126
data_Zr2BeCu
_cell_length_a 3.122
_cell_length_b 3.122
_cell_length_c 6.580
_cell_angle_alpha 90.00
_cell_angle_beta 90.00
_cell_angle_gamma 90.00
_symmetry_space_group_name_H-M 'P 1'
_symmetry_Int_Tables_number 1
loop_
_symmetry_equiv_pos_as_xyz
'x,y,z'
loop_
_atom_site_label
_atom_site_type_symbol
_atom_site_fract_x
_atom_site_fract_y
_atom_site_fract_z
Be1 Be 0.500 0.500 0.000
Zr1 Zr 0.000 0.000 0.759
Cu1 Cu 0.500 0.500 0.500
Zr2 Zr 0.000 0.000 0.241

***

# DyBe13 SCAN single point on PBEsol structure
# ΔH_f (0 K) (meV per atom): -181
data_DyBe13
_cell_length_a 7.161
_cell_length_b 7.161
_cell_length_c 7.161
_cell_angle_alpha 60.00
_cell_angle_beta 60.00
_cell_angle_gamma 60.00
_symmetry_space_group_name_H-M 'P 1'
_symmetry_Int_Tables_number 1
loop_
_symmetry_equiv_pos_as_xyz
'x,y,z'
loop_
_atom_site_label
_atom_site_type_symbol
_atom_site_fract_x
_atom_site_fract_y
_atom_site_fract_z
Be1 Be 0.938 0.291 0.709
Be2 Be 0.438 0.791 0.562
Be3 Be 0.709 0.291 0.062
Be4 Be 0.709 0.062 0.938
Be5 Be 0.938 0.062 0.291
Be6 Be 0.291 0.709 0.938
Be7 Be 0.438 0.209 0.791
Be8 Be 0.562 0.438 0.791
Be9 Be 0.562 0.791 0.209
Be10 Be 0.209 0.562 0.791
Be11 Be 0.438 0.562 0.209
Be12 Be 0.709 0.938 0.291
Be13 Be 0.000 0.000 0.000
Be14 Be 0.500 0.500 0.500
Be15 Be 0.938 0.709 0.062
Be16 Be 0.791 0.438 0.209
Be17 Be 0.062 0.291 0.938
Be18 Be 0.562 0.209 0.438
Be19 Be 0.791 0.209 0.562
Be20 Be 0.062 0.709 0.291
Be21 Be 0.209 0.791 0.438
Be22 Be 0.291 0.938 0.062
Be23 Be 0.062 0.938 0.709
Dy1 Dy 0.250 0.250 0.250
Dy2 Dy 0.750 0.750 0.750
Be24 Be 0.209 0.438 0.562
Be25 Be 0.791 0.562 0.438
Be26 Be 0.291 0.062 0.709

***

# BeFeF3 SCAN single point on PBEsol structure
# Formation energy without anion corrections (eV/atom): -2.05
data_BeFeF3
_cell_length_a 3.562
_cell_length_b 3.562
_cell_length_c 3.562
_cell_angle_alpha 90.00
_cell_angle_beta 90.00
_cell_angle_gamma 90.00
_symmetry_space_group_name_H-M 'P 1'
_symmetry_Int_Tables_number 1
loop_
_symmetry_equiv_pos_as_xyz
'x,y,z'
loop_
_atom_site_label
_atom_site_type_symbol
_atom_site_fract_x
_atom_site_fract_y
_atom_site_fract_z
Be1 Be 0.000 0.000 0.000
F1 F 0.000 0.000 0.500
F2 F 0.500 0.000 0.000
Fe1 Fe 0.500 0.500 0.500
F3 F 0.000 0.500 0.000

***

# BeFe3F SCAN single point on PBEsol structure
# Formation energy without anion corrections (eV/atom): 0.33
data_BeFe3F
_cell_length_a 3.893
_cell_length_b 3.893
_cell_length_c 3.893
_cell_angle_alpha 90.00
_cell_angle_beta 90.00
_cell_angle_gamma 90.00
_symmetry_space_group_name_H-M 'P 1'
_symmetry_Int_Tables_number 1
loop_
_symmetry_equiv_pos_as_xyz
'x,y,z'
loop_
_atom_site_label
_atom_site_type_symbol
_atom_site_fract_x
_atom_site_fract_y
_atom_site_fract_z
Fe1 Fe 0.500 0.000 0.000
F1 F 0.000 0.000 0.000
Fe2 Fe 0.000 0.500 0.000
Fe3 Fe 0.000 0.000 0.500
Be1 Be 0.500 0.500 0.500

***

# Be3FeF SCAN single point on PBEsol structure
# Formation energy without anion corrections (eV/atom): -0.16
data_Be3FeF
_cell_length_a 3.533
_cell_length_b 3.533
_cell_length_c 3.533
_cell_angle_alpha 90.00
_cell_angle_beta 90.00
_cell_angle_gamma 90.00
_symmetry_space_group_name_H-M 'P 1'
_symmetry_Int_Tables_number 1
loop_
_symmetry_equiv_pos_as_xyz
'x,y,z'
loop_
_atom_site_label
_atom_site_type_symbol
_atom_site_fract_x
_atom_site_fract_y
_atom_site_fract_z
F1 F 0.000 0.000 0.000
Be1 Be 0.000 0.000 0.500
Fe1 Fe 0.500 0.500 0.500
Be2 Be 0.000 0.500 0.000
Be3 Be 0.500 0.000 0.000

***

# BeFeO2F SCAN single point on PBEsol structure
# Formation energy without anion corrections (eV/atom): -1.64
data_BeFeO2F
_cell_length_a 3.241
_cell_length_b 3.518
_cell_length_c 3.518
_cell_angle_alpha 90.00
_cell_angle_beta 90.00
_cell_angle_gamma 90.00
_symmetry_space_group_name_H-M 'P 1'
_symmetry_Int_Tables_number 1
loop_
_symmetry_equiv_pos_as_xyz
'x,y,z'
loop_
_atom_site_label
_atom_site_type_symbol
_atom_site_fract_x
_atom_site_fract_y
_atom_site_fract_z
O1 O 0.000 0.500 0.000
Be1 Be 0.000 0.000 0.000
Fe1 Fe 0.500 0.500 0.500
O2 O 0.000 0.000 0.500
F1 F 0.500 0.000 0.000

***

# BeFeRhF2 SCAN single point on PBEsol structure
# Formation energy without anion corrections (eV/atom): -0.70
data_BeFeRhF2
_cell_length_a 3.580
_cell_length_b 3.580
_cell_length_c 5.170
_cell_angle_alpha 90.00
_cell_angle_beta 90.00
_cell_angle_gamma 90.00
_symmetry_space_group_name_H-M 'P 1'
_symmetry_Int_Tables_number 1
loop_
_symmetry_equiv_pos_as_xyz
'x,y,z'
loop_
_atom_site_label
_atom_site_type_symbol
_atom_site_fract_x
_atom_site_fract_y
_atom_site_fract_z
Be1 Be 0.500 0.500 0.500
Rh1 Rh 0.000 0.000 0.500
Fe1 Fe 0.000 0.000 0.000
F1 F 0.500 0.000 0.000
F2 F 0.000 0.500 0.000

***

# BeGaF2 SCAN single point on PBEsol structure
# Formation energy without anion corrections (eV/atom): -0.67
data_BeGaF2
_cell_length_a 4.131
_cell_length_b 4.131
_cell_length_c 4.131
_cell_angle_alpha 60.00
_cell_angle_beta 60.00
_cell_angle_gamma 60.00
_symmetry_space_group_name_H-M 'P 1'
_symmetry_Int_Tables_number 1
loop_
_symmetry_equiv_pos_as_xyz
'x,y,z'
loop_
_atom_site_label
_atom_site_type_symbol
_atom_site_fract_x
_atom_site_fract_y
_atom_site_fract_z
Be1 Be 0.000 0.000 0.000
Ga1 Ga 0.500 0.500 0.500
F1 F 0.750 0.750 0.750
F2 F 0.250 0.250 0.250

***

# Be2GaF SCAN single point on PBEsol structure
# Formation energy without anion corrections (eV/atom): -0.33
data_Be2GaF
_cell_length_a 4.875
_cell_length_b 5.421
_cell_length_c 4.875
_cell_angle_alpha 63.28
_cell_angle_beta 90.00
_cell_angle_gamma 116.72
_symmetry_space_group_name_H-M 'P 1'
_symmetry_Int_Tables_number 1
loop_
_symmetry_equiv_pos_as_xyz
'x,y,z'
loop_
_atom_site_label
_atom_site_type_symbol
_atom_site_fract_x
_atom_site_fract_y
_atom_site_fract_z
Be1 Be 0.215 0.750 0.875
Be2 Be 0.535 0.750 0.375
Ga1 Ga 0.000 0.000 0.000
Be3 Be 0.375 0.250 0.215
F1 F 0.250 0.500 0.250
Ga2 Ga 0.750 0.500 0.750
F2 F 0.500 0.000 0.500
Be4 Be 0.875 0.250 0.535

***

# BeGa3F SCAN single point on PBEsol structure
# Formation energy without anion corrections (eV/atom): -0.15
data_BeGa3F
_cell_length_a 4.365
_cell_length_b 4.365
_cell_length_c 4.365
_cell_angle_alpha 90.00
_cell_angle_beta 90.00
_cell_angle_gamma 90.00
_symmetry_space_group_name_H-M 'P 1'
_symmetry_Int_Tables_number 1
loop_
_symmetry_equiv_pos_as_xyz
'x,y,z'
loop_
_atom_site_label
_atom_site_type_symbol
_atom_site_fract_x
_atom_site_fract_y
_atom_site_fract_z
Ga1 Ga 0.000 0.000 0.500
Ga2 Ga 0.500 0.000 0.000
F1 F 0.500 0.500 0.500
Be1 Be 0.000 0.000 0.000
Ga3 Ga 0.000 0.500 0.000

***

# BeGaF3 SCAN single point on PBEsol structure
# Formation energy without anion corrections (eV/atom): -2.35
data_BeGaF3
_cell_length_a 3.688
_cell_length_b 3.688
_cell_length_c 3.688
_cell_angle_alpha 90.00
_cell_angle_beta 90.00
_cell_angle_gamma 90.00
_symmetry_space_group_name_H-M 'P 1'
_symmetry_Int_Tables_number 1
loop_
_symmetry_equiv_pos_as_xyz
'x,y,z'
loop_
_atom_site_label
_atom_site_type_symbol
_atom_site_fract_x
_atom_site_fract_y
_atom_site_fract_z
Ga1 Ga 0.500 0.500 0.500
F1 F 0.000 0.500 0.000
F2 F 0.500 0.000 0.000
Be1 Be 0.000 0.000 0.000
F3 F 0.000 0.000 0.500

***

| no. | magnetic moment (μB/cell) | DFT total energy (eV per atom) |
| --- | --- | --- |
| 1 | 0.0 | -11.7177 |
| 2 | 0.0 | -12.1478 |
| 3 | 0.0 | -11.6895 |
| 4 | 0.0 | -12.1460 |
| 5 | 0.0 | -12.1655 |
| 6 | 0.0 | -17.2563 |
| 7 | 0.0 | -13.6738 |
| 8 | 0.0 | -13.1066 |
| 9 | 0.0 | -20.3732 |
| 10 | 0.0 | -20.3637 |
| 11 | 0.9 | -7.6372 |
| 12 | 3.2 | -8.6659 |
| 13 | 8.9 | -12.1248 |
| 14 | 1.1 | -7.1045 |
| 15 | 5.0 | -9.3412 |
| 16 | 4.6 | -13.3684 |
| 17 | 1.0 | -7.6106 |
| 18 | 0.0 | -7.4814 |
| 19 | 0.0 | -11.5360 |
| 20 | 0.0 | -8.6187 |